No. 1
Crystalline ZnCdMo2 at its relaxed geometry, computed with PBE.

magnetization	0.00	μB/f.u.
ρ	9.33	g/cm³
ΔE to the lowest computed polymorph	13.0	kJ per mole of atoms
SG	C2/m

abc: 5.280 5.280 4.173
angles: 112.15 112.15 38.07
Atoms (fractional coordinates):
Zn: 0.000 0.000 0.000
Cd: 0.500 0.500 0.500
Mo: 0.256 0.256 0.769
Mo: 0.744 0.744 0.231

No. 2
Crystalline ZnCd2Mo at its relaxed geometry, computed with PBE.

magnetization	0.00	μB/f.u.
ρ	8.91	g/cm³
SG	Cmmm
uncorrected energy	-3.20	eV per atom

abc: 5.244 5.244 2.872
angles: 90.00 90.00 114.32
Atoms (fractional coordinates):
Zn: 0.000 0.000 0.000
Cd: 0.000 0.500 0.500
Cd: 0.500 0.000 0.500
Mo: 0.500 0.500 0.000

No. 3
Crystalline Zn2CdMo at its relaxed geometry, computed with PBE.

magnetization	0.18	μB/f.u.
ρ	8.33	g/cm³
SG	Immm
uncorrected energy	-3.25	eV per atom

abc: 5.538 5.538 5.538
angles: 149.99 126.58 62.49
Atoms (fractional coordinates):
Zn: 0.242 0.242 0.000
Zn: 0.758 0.758 0.000
Cd: 0.500 0.000 0.500
Mo: 0.000 0.500 0.500

no.,density of states at the Fermi level (states/eV/f.u.)
1,2.08
2,1.45
3,2.52